Entry 1:
A plane-wave DFT calculation with PBE was carried out for crystalline GaNi2Pt at its relaxed geometry.

POSCAR file:
```
GaNi2Pt
1.0
-2.996 1.962 -0.267
0.098 -0.337 -3.574
-6.310 -6.533 -1.361
Ni Pt Ga
4 2 2
Direct
0.620 0.125 0.250
0.130 0.625 0.250
0.375 0.380 0.750
0.875 0.870 0.750
0.000 0.000 0.000
0.750 0.250 0.500
0.500 0.500 0.000
0.250 0.750 0.500
```

Results
E_form (meV per atom): -5
Final energy (eV/atom): -5.163
Magnetization (μB per formula unit): 0.38

=====

Entry 2:
A plane-wave DFT calculation with PBE was carried out for crystalline CaNdPd at its relaxed geometry.

POSCAR file:
```
CaNdPd
1.0
-2.221 3.176 -3.196
-4.074 2.585 1.402
2.786 8.034 2.161
Ca Nd Pd
2 2 2
Direct
0.627 0.627 0.119
0.373 0.373 0.881
0.877 0.877 0.371
0.123 0.123 0.629
0.756 0.755 0.734
0.244 0.245 0.266
```

Results
E_form (meV per atom): -443
Final energy (eV/atom): -4.430
Magnetization (μB per formula unit): 0.00
E above lowest polymorph (eV per atom): 0.070

=====

Entry 3:
A plane-wave DFT calculation with PBE was carried out for crystalline Pr4BiSbC at its relaxed geometry.

POSCAR file:
```
Pr4BiSbC
1.0
7.170 0.000 0.000
0.000 7.177 0.000
-3.585 0.000 8.282
Pr Sb C Bi
8 2 2 2
Direct
0.000 0.500 0.500
0.500 0.500 0.500
0.910 0.250 0.819
0.000 0.000 0.500
0.090 0.750 0.181
0.500 0.000 0.500
0.593 0.250 0.187
0.407 0.750 0.813
0.889 0.750 0.779
0.111 0.250 0.221
0.752 0.250 0.503
0.248 0.750 0.497
0.607 0.750 0.214
0.393 0.250 0.786
```

Results
Final energy (eV/atom): -5.813
Magnetization (μB per formula unit): 0.00
Formation energy (no corrections) (kJ/mol of formula units): -419

=====

Entry 4:
A plane-wave DFT calculation with PBE was carried out for crystalline CaMgAg at its relaxed geometry.

POSCAR file:
```
CaMgAg
1.0
5.143 0.094 -2.838
-3.332 4.833 -0.249
0.032 -0.094 5.874
Mg Ag Ca
2 2 2
Direct
0.500 0.500 0.500
0.000 0.500 0.000
0.500 0.000 0.500
0.000 0.500 0.500
0.750 0.881 0.131
0.250 0.119 0.869
```

Results
E_form (meV per atom): -245
Final energy (eV/atom): -2.394
Magnetization (μB per formula unit): 0.00

=====

Entry 5:
A plane-wave DFT calculation with PBE was carried out for crystalline CuAs at its relaxed geometry.

POSCAR file:
```
CuAs
1.0
9.117 0.000 0.000
0.000 9.117 0.000
0.000 0.000 3.794
Cu As
8 8
Direct
0.310 0.444 0.000
0.556 0.310 0.000
0.944 0.190 0.500
0.444 0.690 0.000
0.056 0.810 0.500
0.690 0.556 0.000
0.190 0.056 0.500
0.810 0.944 0.500
0.820 0.329 0.000
0.671 0.820 0.000
0.680 0.171 0.500
0.829 0.680 0.500
0.329 0.180 0.000
0.171 0.320 0.500
0.180 0.671 0.000
0.320 0.829 0.500
```

Results
E_form (meV per atom): 154
Final energy (eV/atom): -4.219
Magnetization (μB per formula unit): 0.00